Record 1
# CsCuPb2, relaxed, DFT PBE
# Crystal system   tetragonal
# E   -3.004 eV per atom
# Offset from the most stable computed form   0.000 eV per atom
# DFT formation energy   0.35 eV/f.u.
data_CsCuPb2
_space_group_name_H-M_alt 'P 4/m m m'
_space_group_IT_number 123
_space_group_name_Hall '-P 4 2'
_cell_length_a 3.678
_cell_length_b 3.678
_cell_length_c 9.129
_cell_angle_alpha 90.00
_cell_angle_beta 90.00
_cell_angle_gamma 90.00
loop_
_atom_site_label
_atom_site_type_symbol
_atom_site_fract_x
_atom_site_fract_y
_atom_site_fract_z
_atom_site_occupancy
Cs1 Cs 0.000 0.000 0.000 1
Cu1 Cu 0.000 0.000 0.500 1
Pb1 Pb 0.500 0.500 0.331 1

---

Record 2
# CsCuPb3, relaxed, DFT PBE
# Crystal system   cubic
# E   -1.584 eV per atom
# Offset from the most stable computed form   1.448 eV per atom
# DFT formation energy   8.15 eV/f.u.
data_CsCuPb3
_space_group_name_H-M_alt 'P m -3 m'
_space_group_IT_number 221
_space_group_name_Hall '-P 4 2 3'
_cell_length_a 6.382
_cell_length_b 6.382
_cell_length_c 6.382
_cell_angle_alpha 90.00
_cell_angle_beta 90.00
_cell_angle_gamma 90.00
loop_
_atom_site_label
_atom_site_type_symbol
_atom_site_fract_x
_atom_site_fract_y
_atom_site_fract_z
_atom_site_occupancy
Cs1 Cs 0.000 0.000 0.000 1
Cu1 Cu 0.500 0.500 0.500 1
Pb1 Pb 0.000 0.000 0.500 1

---

Record 3
# CsCuPb3, relaxed, DFT PBE
# Crystal system   cubic
# E   -3.032 eV per atom
# Offset from the most stable computed form   0.000 eV per atom
# DFT formation energy   0.91 eV/f.u.
data_CsCuPb3
_space_group_name_H-M_alt 'P m -3 m'
_space_group_IT_number 221
_space_group_name_Hall '-P 4 2 3'
_cell_length_a 5.547
_cell_length_b 5.547
_cell_length_c 5.547
_cell_angle_alpha 90.00
_cell_angle_beta 90.00
_cell_angle_gamma 90.00
loop_
_atom_site_label
_atom_site_type_symbol
_atom_site_fract_x
_atom_site_fract_y
_atom_site_fract_z
_atom_site_occupancy
Cs1 Cs 0.000 0.000 0.000 1
Cu1 Cu 0.500 0.500 0.500 1
Pb1 Pb 0.000 0.500 0.500 1

---

Record 4
# CsCu3Pb, relaxed, DFT PBE
# Crystal system   cubic
# E   -2.919 eV per atom
# Offset from the most stable computed form   0.000 eV per atom
# DFT formation energy   2.25 eV/f.u.
data_CsCu3Pb
_space_group_name_H-M_alt 'P m -3 m'
_space_group_IT_number 221
_space_group_name_Hall '-P 4 2 3'
_cell_length_a 5.215
_cell_length_b 5.215
_cell_length_c 5.215
_cell_angle_alpha 90.00
_cell_angle_beta 90.00
_cell_angle_gamma 90.00
loop_
_atom_site_label
_atom_site_type_symbol
_atom_site_fract_x
_atom_site_fract_y
_atom_site_fract_z
_atom_site_occupancy
Cs1 Cs 0.000 0.000 0.000 1
Cu1 Cu 0.000 0.500 0.500 1
Pb1 Pb 0.500 0.500 0.500 1